## i
# GGA-PBE NaScCo2, optimized geometry
# Total magnetic moment ... 0.339 μB per atom
# Fermi-level density of states ... 27.26 states/eV per cell
data_NaScCo2
_chemical_formula_sum 'Na4 Sc4 Co8'
_space_group_name_H-M_alt 'F m -3 m'
_space_group_IT_number 225
_space_group_name_Hall '-F 4 2 3'
_cell_length_a 6.297
_cell_length_b 6.297
_cell_length_c 6.297
_cell_angle_alpha 90.00
_cell_angle_beta 90.00
_cell_angle_gamma 90.00
loop_
_atom_site_label
_atom_site_fract_x
_atom_site_fract_y
_atom_site_fract_z
Na1 0.000 0.000 0.000
Sc1 0.000 0.000 0.500
Co1 0.250 0.250 0.250

=====

## ii
# GGA-PBE NaScCo2, optimized geometry
# Total magnetic moment ... 0.514 μB per atom
# Fermi-level density of states ... 10.94 states/eV per cell
data_NaScCo2
_chemical_formula_sum 'Na4 Sc4 Co8'
_space_group_name_H-M_alt 'I -4 2 d'
_space_group_IT_number 122
_space_group_name_Hall 'I -4 2bw'
_cell_length_a 4.191
_cell_length_b 4.191
_cell_length_c 17.710
_cell_angle_alpha 90.00
_cell_angle_beta 90.00
_cell_angle_gamma 90.00
loop_
_atom_site_label
_atom_site_fract_x
_atom_site_fract_y
_atom_site_fract_z
Na1 0.000 0.000 0.000
Sc1 0.000 0.000 0.500
Co1 0.116 0.250 0.625

=====

Most stable: i. Least stable: ii.

=====

## i
# GGA-PBE Na2ScCo, optimized geometry
# Total magnetic moment ... 0.000 μB per atom
# Fermi-level density of states ... 20.75 states/eV per cell
data_Na2ScCo
_chemical_formula_sum 'Na8 Sc4 Co4'
_space_group_name_H-M_alt 'F m -3 m'
_space_group_IT_number 225
_space_group_name_Hall '-F 4 2 3'
_cell_length_a 6.899
_cell_length_b 6.899
_cell_length_c 6.899
_cell_angle_alpha 90.00
_cell_angle_beta 90.00
_cell_angle_gamma 90.00
loop_
_atom_site_label
_atom_site_fract_x
_atom_site_fract_y
_atom_site_fract_z
Na1 0.250 0.250 0.250
Sc1 0.000 0.000 0.000
Co1 0.000 0.000 0.500

=====

## ii
# GGA-PBE Na2ScCo, optimized geometry
# Total magnetic moment ... 0.006 μB per atom
# Fermi-level density of states ... 10.25 states/eV per cell
data_Na2ScCo
_chemical_formula_sum 'Na8 Sc4 Co4'
_space_group_name_H-M_alt 'I -4 2 d'
_space_group_IT_number 122
_space_group_name_Hall 'I -4 2bw'
_cell_length_a 3.771
_cell_length_b 3.771
_cell_length_c 23.255
_cell_angle_alpha 90.00
_cell_angle_beta 90.00
_cell_angle_gamma 90.00
loop_
_atom_site_label
_atom_site_fract_x
_atom_site_fract_y
_atom_site_fract_z
Na1 0.233 0.250 0.125
Sc1 0.000 0.000 0.500
Co1 0.000 0.000 0.000

=====

Most stable: ii. Least stable: i.

=====

## i
# GGA-PBE NaSc3Co, optimized geometry
# Total magnetic moment ... 0.000 μB per atom
# Fermi-level density of states ... 2.68 states/eV per cell
data_NaSc3Co
_chemical_formula_sum 'Na1 Sc3 Co1'
_space_group_name_H-M_alt 'P m -3 m'
_space_group_IT_number 221
_space_group_name_Hall '-P 4 2 3'
_cell_length_a 4.951
_cell_length_b 4.951
_cell_length_c 4.951
_cell_angle_alpha 90.00
_cell_angle_beta 90.00
_cell_angle_gamma 90.00
loop_
_atom_site_label
_atom_site_fract_x
_atom_site_fract_y
_atom_site_fract_z
Na1 0.000 0.000 0.000
Sc1 0.000 0.500 0.500
Co1 0.500 0.500 0.500

=====

## ii
# GGA-PBE NaSc3Co, optimized geometry
# Total magnetic moment ... 0.346 μB per atom
# Fermi-level density of states ... 8.03 states/eV per cell
data_NaSc3Co
_chemical_formula_sum 'Na1 Sc3 Co1'
_space_group_name_H-M_alt 'P m -3 m'
_space_group_IT_number 221
_space_group_name_Hall '-P 4 2 3'
_cell_length_a 4.992
_cell_length_b 4.992
_cell_length_c 4.992
_cell_angle_alpha 90.00
_cell_angle_beta 90.00
_cell_angle_gamma 90.00
loop_
_atom_site_label
_atom_site_fract_x
_atom_site_fract_y
_atom_site_fract_z
Na1 0.000 0.000 0.000
Sc1 0.000 0.000 0.500
Co1 0.500 0.500 0.500

=====

Most stable: i. Least stable: ii.

=====

## i
# GGA-PBE NaCoSe3, optimized geometry
# Total magnetic moment ... 0.366 μB per atom
# Fermi-level density of states ... 4.84 states/eV per cell
data_NaCoSe3
_chemical_formula_sum 'Na1 Co1 Se3'
_space_group_name_H-M_alt 'P m -3 m'
_space_group_IT_number 221
_space_group_name_Hall '-P 4 2 3'
_cell_length_a 4.808
_cell_length_b 4.808
_cell_length_c 4.808
_cell_angle_alpha 90.00
_cell_angle_beta 90.00
_cell_angle_gamma 90.00
loop_
_atom_site_label
_atom_site_fract_x
_atom_site_fract_y
_atom_site_fract_z
Na1 0.000 0.000 0.000
Co1 0.500 0.500 0.500
Se1 0.000 0.500 0.500

=====

## ii
# GGA-PBE NaCoSe3, optimized geometry
# Total magnetic moment ... 0.484 μB per atom
# Fermi-level density of states ... 7.56 states/eV per cell
data_NaCoSe3
_chemical_formula_sum 'Na1 Co1 Se3'
_space_group_name_H-M_alt 'P m -3 m'
_space_group_IT_number 221
_space_group_name_Hall '-P 4 2 3'
_cell_length_a 5.074
_cell_length_b 5.074
_cell_length_c 5.074
_cell_angle_alpha 90.00
_cell_angle_beta 90.00
_cell_angle_gamma 90.00
loop_
_atom_site_label
_atom_site_fract_x
_atom_site_fract_y
_atom_site_fract_z
Na1 0.000 0.000 0.000
Co1 0.500 0.500 0.500
Se1 0.000 0.000 0.500

=====

Most stable: i. Least stable: ii.